Crystalline Rb2Ta3TcO12 at its relaxed geometry, computed with PBE.

a = 7.4098 Å, b = 7.4098 Å, c = 7.4098 Å
α = 60.39°, β = 60.39°, γ = 60.39°
Element x y z (fractional)
Rb (0.1147, 0.1147, 0.1147)
Rb (0.8853, 0.8853, 0.8853)
Ta (0.0000, 0.5000, 0.5000)
Ta (0.5000, 0.0000, 0.5000)
Ta (0.5000, 0.5000, 0.0000)
Tc (0.5000, 0.5000, 0.5000)
O (0.1865, 0.1865, 0.5627)
O (0.1865, 0.5627, 0.1865)
O (0.2015, 0.5579, 0.5579)
O (0.4373, 0.8135, 0.8135)
O (0.4421, 0.4421, 0.7985)
O (0.4421, 0.7985, 0.4421)
O (0.5579, 0.2015, 0.5579)
O (0.5579, 0.5579, 0.2015)
O (0.5627, 0.1865, 0.1865)
O (0.7985, 0.4421, 0.4421)
O (0.8135, 0.4373, 0.8135)
O (0.8135, 0.8135, 0.4373)

=====

Crystalline Rb2TaTcO6 at its relaxed geometry, computed with PBE.

a = 5.6940 Å, b = 5.6940 Å, c = 5.6940 Å
α = 60.00°, β = 60.00°, γ = 60.00°
Element x y z (fractional)
Rb (0.2500, 0.2500, 0.2500)
Rb (0.7500, 0.7500, 0.7500)
Ta (0.0000, 0.0000, 0.0000)
Tc (0.5000, 0.5000, 0.5000)
O (0.2524, 0.2524, 0.7476)
O (0.2524, 0.7476, 0.2524)
O (0.2524, 0.7476, 0.7476)
O (0.7476, 0.2524, 0.2524)
O (0.7476, 0.2524, 0.7476)
O (0.7476, 0.7476, 0.2524)

=====

Crystalline Rb2TaTeO6 at its relaxed geometry, computed with PBE.

a = 5.8386 Å, b = 5.8386 Å, c = 5.8386 Å
α = 60.00°, β = 60.00°, γ = 60.00°
Element x y z (fractional)
Rb (0.2500, 0.2500, 0.2500)
Rb (0.7500, 0.7500, 0.7500)
Ta (0.0000, 0.0000, 0.0000)
Te (0.5000, 0.5000, 0.5000)
O (0.2450, 0.2450, 0.7550)
O (0.2450, 0.7550, 0.2450)
O (0.2450, 0.7550, 0.7550)
O (0.7550, 0.2450, 0.2450)
O (0.7550, 0.2450, 0.7550)
O (0.7550, 0.7550, 0.2450)

=====

Crystalline Rb2TaTe3O12 at its relaxed geometry, computed with PBE.

a = 7.3898 Å, b = 7.3898 Å, c = 7.3898 Å
α = 59.93°, β = 59.93°, γ = 59.93°
Element x y z (fractional)
Rb (0.1269, 0.1269, 0.1269)
Rb (0.8731, 0.8731, 0.8731)
Ta (0.5000, 0.5000, 0.5000)
Te (0.0000, 0.5000, 0.5000)
Te (0.5000, 0.0000, 0.5000)
Te (0.5000, 0.5000, 0.0000)
O (0.1781, 0.1781, 0.5715)
O (0.1781, 0.5715, 0.1781)
O (0.1804, 0.5670, 0.5670)
O (0.4285, 0.8219, 0.8219)
O (0.4330, 0.4330, 0.8196)
O (0.4330, 0.8196, 0.4330)
O (0.5670, 0.1804, 0.5670)
O (0.5670, 0.5670, 0.1804)
O (0.5715, 0.1781, 0.1781)
O (0.8196, 0.4330, 0.4330)
O (0.8219, 0.4285, 0.8219)
O (0.8219, 0.8219, 0.4285)

=====

Crystalline RbTaTeO5 at its relaxed geometry, computed with PBE.

a = 6.1272 Å, b = 6.1272 Å, c = 7.6231 Å
α = 100.84°, β = 100.84°, γ = 105.47°
Element x y z (fractional)
Rb (0.1665, 0.8335, 0.7500)
Rb (0.8335, 0.1665, 0.2500)
Ta (0.5000, 0.5000, 0.0000)
Ta (0.5000, 0.5000, 0.5000)
Te (0.1789, 0.8211, 0.2500)
Te (0.8211, 0.1789, 0.7500)
O (0.1617, 0.3190, 0.9466)
O (0.2100, 0.5935, 0.3932)
O (0.3190, 0.1617, 0.4466)
O (0.4065, 0.7900, 0.1068)
O (0.4464, 0.5536, 0.7500)
O (0.5536, 0.4464, 0.2500)
O (0.5935, 0.2100, 0.8932)
O (0.6810, 0.8383, 0.5534)
O (0.7900, 0.4065, 0.6068)
O (0.8383, 0.6810, 0.0534)

=====

Crystalline Rb2ThTa3O12 at its relaxed geometry, computed with PBE.

a = 7.6979 Å, b = 7.6979 Å, c = 7.6979 Å
α = 59.73°, β = 59.73°, γ = 59.73°
Element x y z (fractional)
Rb (0.1230, 0.1230, 0.1230)
Rb (0.8770, 0.8770, 0.8770)
Th (0.5000, 0.5000, 0.5000)
Ta (0.0000, 0.5000, 0.5000)
Ta (0.5000, 0.0000, 0.5000)
Ta (0.5000, 0.5000, 0.0000)
O (0.1405, 0.5860, 0.5860)
O (0.2032, 0.2032, 0.5705)
O (0.2032, 0.5705, 0.2032)
O (0.4140, 0.4140, 0.8595)
O (0.4140, 0.8595, 0.4140)
O (0.4295, 0.7968, 0.7968)
O (0.5705, 0.2032, 0.2032)
O (0.5860, 0.1405, 0.5860)
O (0.5860, 0.5860, 0.1405)
O (0.7968, 0.4295, 0.7968)
O (0.7968, 0.7968, 0.4295)
O (0.8595, 0.4140, 0.4140)

=====

Energy relative to the elements, uncorrected list, top to bottom, in eV/atom: -2.352 -1.981 -1.812 -1.553 -1.877 -2.489